No. 1
Material: HfTi3Pd
Method: DFT, GGA-PBE
State: relaxed

The calculated volume comes out at 21.36 A^3/atom. For the formation energy, the calculation gives 0.566 eV per atom.

```
data_HfTi3Pd
_space_group_name_H-M_alt 'P 1'
_space_group_IT_number 1
_cell_length_a 4.745
_cell_length_b 4.745
_cell_length_c 4.745
_cell_angle_alpha 90.00
_cell_angle_beta 90.00
_cell_angle_gamma 90.00
loop_
_space_group_symop_operation_xyz
'x,y,z'
loop_
_atom_site_label
_atom_site_type_symbol
_atom_site_fract_x
_atom_site_fract_y
_atom_site_fract_z
Hf1 Hf 0.000 0.000 0.000
Ti1 Ti 0.000 0.500 0.500
Ti2 Ti 0.500 0.000 0.500
Ti3 Ti 0.500 0.500 0.000
Pd1 Pd 0.500 0.500 0.500
```


No. 2
Material: Hf2TiPd2
Method: DFT, GGA-PBE
State: relaxed

The calculated volume comes out at 18.55 A^3/atom. For the formation energy, the calculation gives -0.434 eV per atom.

```
data_Hf2TiPd2
_space_group_name_H-M_alt 'P 1'
_space_group_IT_number 1
_cell_length_a 6.980
_cell_length_b 6.980
_cell_length_c 3.183
_cell_angle_alpha 90.00
_cell_angle_beta 90.00
_cell_angle_gamma 143.26
loop_
_space_group_symop_operation_xyz
'x,y,z'
loop_
_atom_site_label
_atom_site_type_symbol
_atom_site_fract_x
_atom_site_fract_y
_atom_site_fract_z
Hf1 Hf 0.118 0.882 0.000
Hf2 Hf 0.882 0.118 0.000
Ti1 Ti 0.500 0.500 0.500
Pd1 Pd 0.310 0.690 0.500
Pd2 Pd 0.690 0.310 0.500
```


No. 3
Material: HfTiPd
Method: DFT, GGA-PBE
State: relaxed

The calculated volume comes out at 17.90 A^3/atom. For the formation energy, the calculation gives -0.344 eV per atom.

```
data_HfTiPd
_space_group_name_H-M_alt 'P 1'
_space_group_IT_number 1
_cell_length_a 5.121
_cell_length_b 5.121
_cell_length_c 4.930
_cell_angle_alpha 99.20
_cell_angle_beta 99.20
_cell_angle_gamma 118.91
loop_
_space_group_symop_operation_xyz
'x,y,z'
loop_
_atom_site_label
_atom_site_type_symbol
_atom_site_fract_x
_atom_site_fract_y
_atom_site_fract_z
Hf1 Hf 0.222 0.778 0.750
Hf2 Hf 0.778 0.222 0.250
Ti1 Ti 0.446 0.554 0.250
Ti2 Ti 0.554 0.446 0.750
Pd1 Pd 0.095 0.905 0.250
Pd2 Pd 0.905 0.095 0.750
```